Record 1
Pm5Ir2I2 | PBE | relaxed

a b c (Å): 9.354 9.354 8.044
angles (deg): 90.00 90.00 50.86
Fractional positions:
Pm: 0.000 0.000 0.000
Pm: 0.048 0.739 0.655
Pm: 0.239 0.548 0.155
Pm: 0.261 0.952 0.655
Pm: 0.452 0.761 0.155
Pm: 0.500 0.500 0.500
Pm: 0.548 0.239 0.845
Pm: 0.739 0.048 0.345
Pm: 0.761 0.452 0.845
Pm: 0.952 0.261 0.345
Ir: 0.143 0.857 0.359
Ir: 0.357 0.643 0.859
Ir: 0.643 0.357 0.141
Ir: 0.857 0.143 0.641
I: 0.212 0.212 0.000
I: 0.288 0.288 0.500
I: 0.712 0.712 0.500
I: 0.788 0.788 0.000

Output
Volume, A^3/atom: 30.33
Space group: Cmce
Formation energy without anion corrections, meV/atom: -810
Magnetization, μB per formula unit: 0.00

Record 2
Pm2IrI | PBE | relaxed

a b c (Å): 3.569 3.569 8.509
angles (deg): 90.00 90.00 90.00
Fractional positions:
Pm: 0.000 0.000 0.201
Pm: 0.000 0.000 0.799
Ir: 0.500 0.500 0.000
I: 0.500 0.500 0.500

Output
Volume, A^3/atom: 27.10
Energy above the most stable polymorph in this dataset, meV per atom: 248.3
Space group: P4/mmm
Formation energy without anion corrections, meV/atom: -722
Magnetization, μB per formula unit: 0.00

Record 3
PmPrIrI | PBE | relaxed

a b c (Å): 8.522 8.522 8.522
angles (deg): 28.67 28.67 28.67
Fractional positions:
Pm: 0.000 0.000 0.000
Pr: 0.212 0.212 0.212
Ir: 0.607 0.607 0.607
I: 0.437 0.437 0.437

Output
Volume, A^3/atom: 31.48
Space group: R3m
Formation energy without anion corrections, meV/atom: -946
Magnetization, μB per formula unit: 0.00

Record 4
Pm6IrPt2I3 | PBE | relaxed

a b c (Å): 7.335 7.335 8.413
angles (deg): 98.36 98.36 120.00
Fractional positions:
Pm: 0.062 0.388 0.185
Pm: 0.264 0.264 0.815
Pm: 0.388 0.062 0.185
Pm: 0.612 0.938 0.815
Pm: 0.736 0.736 0.185
Pm: 0.938 0.612 0.815
Ir: 0.000 0.000 0.000
Pt: 0.333 0.667 0.000
Pt: 0.667 0.333 0.000
I: 0.167 0.833 0.500
I: 0.500 0.500 0.500
I: 0.833 0.167 0.500

Output
Volume, A^3/atom: 31.25
Space group: C2/m
Formation energy without anion corrections, meV/atom: -1086
Magnetization, μB per formula unit: 0.00

Record 5
PmPuIrI | PBE | relaxed

a b c (Å): 8.438 8.438 8.438
angles (deg): 28.20 28.20 28.20
Fractional positions:
Pm: 0.000 0.000 0.000
Pu: 0.791 0.791 0.791
Ir: 0.400 0.400 0.400
I: 0.230 0.230 0.230

Output
Volume, A^3/atom: 29.63
Space group: R3m
Formation energy without anion corrections, meV/atom: -757
Magnetization, μB per formula unit: 5.15

Record 6
Pm8Ir3RhI4 | PBE | relaxed

a b c (Å): 9.408 9.408 9.408
angles (deg): 52.88 52.88 52.88
Fractional positions:
Pm: 0.226 0.728 0.728
Pm: 0.228 0.228 0.228
Pm: 0.272 0.272 0.774
Pm: 0.272 0.774 0.272
Pm: 0.728 0.226 0.728
Pm: 0.728 0.728 0.226
Pm: 0.772 0.772 0.772
Pm: 0.774 0.272 0.272
Ir: 0.000 0.000 0.500
Ir: 0.000 0.500 0.000
Ir: 0.500 0.000 0.000
Rh: 0.500 0.500 0.500
I: 0.000 0.000 0.000
I: 0.000 0.500 0.500
I: 0.500 0.000 0.500
I: 0.500 0.500 0.000

Output
Volume, A^3/atom: 30.66
Space group: R-3m
Formation energy without anion corrections, meV/atom: -966
Magnetization, μB per formula unit: 0.00